Here is LiCuPd2 after structural relaxation from OQMD. Energies are from PBE-GGA.

The calculation puts the calculated volume at 15.654 A^3/atom. As for the calculated total energy: -4.108 eV per atom.

Cell: 4.281 4.281 7.890 Å, 90.00 90.00 120.00°
Element x y z (fractional)
Li  0.333  0.667  0.250
Li  0.667  0.333  0.750
Cu  0.000  0.000  0.000
Cu  0.000  0.000  0.500
Pd  0.333  0.667  0.582
Pd  0.333  0.667  0.918
Pd  0.667  0.333  0.082
Pd  0.667  0.333  0.418